Entry 1:
## Sc2InW (PBE)

Data for Sc2InW after structural relaxation.

abc: 5.0568 5.0568 5.6902
angles: 82.97 82.97 34.33
With the nearest neighbours (Å) after each atom.
Positions (direct):
W1 0.7500 0.7500 0.7500  6 Sc 2.94-2.99, 2 W 2.98, 4 In 3.21
Sc1 0.0026 0.0026 0.9882  3 W 2.94-2.99, 3 In 2.97-3.08, 4 Sc 2.98-3.10
In1 0.2500 0.2500 0.2500  6 Sc 2.97-3.08, 2 In 2.98, 4 W 3.21
Sc2 0.4974 0.4974 0.5118  3 W 2.94-2.99, 3 In 2.97-3.08, 4 Sc 2.98-3.10

Energy of formation in eV/atom: 0.179
Total DFT energy (no corrections) in eV for the cell shown: -27.64
Symmetry: C2/m, No. 12

***

Entry 2:
## Tl2TcOs (PBE)

Data for Tl2TcOs after structural relaxation.

abc: 3.0398 2.9842 9.0173
angles: 80.46 90.00 90.00
With the nearest neighbours (Å) after each atom.
Positions (direct):
Tl1 0.5000 0.0438 0.2909  6 Tl 2.98-3.33, 4 Os 3.10
Os1 0.0000 0.4149 0.5440  4 Tc 2.58
Tc1 0.5000 0.8333 0.7077  4 Os 2.58
Tl2 0.0000 0.2079 0.9574  6 Tl 2.98-3.33, 4 Tc 3.08

Energy of formation in eV/atom: 0.440
Total DFT energy (no corrections) in eV for the cell shown: -24.57
Symmetry: Pm, No. 6
ΔE to the lowest computed polymorph in eV per atom: 0.000

***

Entry 3:
## K2Na3Tl (PBE)

Data for K2Na3Tl after structural relaxation.

abc: 5.7181 6.8699 8.1924
angles: 114.79 110.43 90.00
With the nearest neighbours (Å) after each atom.
Positions (direct):
K1 0.7064 0.2064 0.4127  6 Na 3.67-4.03, 1 Tl 4.03
Na1 0.0000 0.0000 0.0000  2 Tl 3.43
Na2 0.3888 0.3888 0.7775  1 Na 3.06, 2 Tl 3.24
K2 0.2936 0.7936 0.5873  6 Na 3.67-4.03, 1 Tl 4.03
Na3 0.6112 0.6112 0.2225  1 Na 3.06, 2 Tl 3.24
Tl1 0.0000 0.5000 0.0000  6 Na 3.24-3.43

Energy of formation in eV/atom: 0.041
Total DFT energy (no corrections) in eV for the cell shown: -8.27
Symmetry: Immm, No. 71
ΔE to the lowest computed polymorph in eV per atom: 0.085

***

Entry 4:
## NaYZnIn (PBE)

Data for NaYZnIn after structural relaxation.

abc: 5.1464 5.1464 5.1464
angles: 60.00 60.00 60.00
With the nearest neighbours (Å) after each atom.
Positions (direct):
Zn1 0.0000 0.0000 0.0000  4 Y 3.15, 4 Na 3.15
Y1 0.7500 0.7500 0.7500  4 Zn 3.15, 4 In 3.15
Na1 0.2500 0.2500 0.2500  4 In 3.15, 4 Zn 3.15
In1 0.5000 0.5000 0.5000  4 Na 3.15, 4 Y 3.15

Energy of formation in eV/atom: -0.185
Total DFT energy (no corrections) in eV for the cell shown: -12.54
Symmetry: F-43m, No. 216

***

Entry 5:
## NpCoNi2 (PBE)

Data for NpCoNi2 after structural relaxation.

abc: 4.8469 4.8469 8.6775
angles: 73.78 73.78 60.00
With the nearest neighbours (Å) after each atom.
Positions (direct):
Ni1 0.5823 0.0817 0.7537  4 Ni 2.42-2.43, 3 Co 2.45-2.51
Np1 0.8564 0.8564 0.4307  3 Co 2.86, 9 Ni 2.86-3.00, 3 Np 3.02
Np2 0.0000 0.0000 0.0000  6 Co 2.80
Ni2 0.0817 0.5823 0.7537  4 Ni 2.42-2.43, 3 Co 2.45-2.51
Co1 0.3330 0.3330 0.0011  6 Ni 2.45-2.47
Ni3 0.4177 0.4177 0.2463  4 Ni 2.42-2.43, 3 Co 2.45-2.51
Np3 0.1436 0.1436 0.5693  3 Co 2.86, 9 Ni 2.86-3.00, 3 Np 3.02
Co2 0.5000 0.5000 0.5000  6 Ni 2.51
Ni4 0.4177 0.9183 0.2463  4 Ni 2.42-2.43, 3 Co 2.45-2.51
Ni5 0.5823 0.5823 0.7537  4 Ni 2.42-2.43, 3 Co 2.45-2.51
Ni6 0.9183 0.4177 0.2463  4 Ni 2.42-2.43, 3 Co 2.45-2.51
Co3 0.6670 0.6670 0.9989  6 Ni 2.45-2.47

Energy of formation in eV/atom: -0.110
Total DFT energy (no corrections) in eV for the cell shown: -96.14
Symmetry: R-3m, No. 166
ΔE to the lowest computed polymorph in eV per atom: 0.000

***

Entry 6:
## NiSb4Cl (PBE)

Data for NiSb4Cl after structural relaxation.

abc: 6.1740 6.1740 6.1740
angles: 60.00 60.00 60.00
With the nearest neighbours (Å) after each atom.
Positions (direct):
Ni1 0.0000 0.0000 0.0000  12 Sb 3.64, 4 Cl 3.78
Sb1 0.3810 0.3810 0.3810  6 Sb 2.94-3.24
Sb2 0.3810 0.3810 0.8570  6 Sb 2.94-3.24
Sb3 0.8570 0.3810 0.3810  6 Sb 2.94-3.24
Sb4 0.3810 0.8570 0.3810  6 Sb 2.94-3.24
Cl1 0.7500 0.7500 0.7500  12 Sb 3.61, 4 Ni 3.78

Total DFT energy (no corrections) in eV for the cell shown: -20.78
Symmetry: F-43m, No. 216
Uncorrected formation energy in eV/atom: 0.557

***

Entry 7:
## TeAs2 (PBE)

Data for TeAs2 after structural relaxation.

abc: 5.9764 5.9764 8.6729
angles: 79.20 79.20 34.70
With the nearest neighbours (Å) after each atom.
Positions (direct):
As1 0.2877 0.2877 0.7106  2 As 2.49, 1 Te 2.69
Te1 0.2344 0.2344 0.0265  2 As 2.65-2.69
Te2 0.9507 0.9507 0.3514  2 As 2.60-2.67
As2 0.7144 0.7144 0.3706  1 As 2.49, 1 Te 2.67
As3 0.9999 0.9999 0.0458  2 Te 2.60-2.65
As4 0.6464 0.6464 0.6617  3 As 2.49

Total DFT energy (no corrections) in eV for the cell shown: -23.99
Symmetry: Cm, No. 8
Uncorrected formation energy in eV/atom: 0.149

***

Entry 8:
## Mg2AsOs (PBE)

Data for Mg2AsOs after structural relaxation.

abc: 5.6194 5.6194 5.6194
angles: 147.10 131.37 59.97
With the nearest neighbours (Å) after each atom.
Positions (direct):
Mg1 0.2784 0.7784 0.5000  2 Os 2.87, 4 As 2.88, 4 Mg 3.07-3.18
Mg2 0.9851 0.9851 0.0000  4 Os 2.83, 2 Mg 3.07, 2 As 3.09
As1 0.7130 0.2130 0.5000  2 Os 2.44
Os1 0.5234 0.5234 0.0000  2 As 2.44

Energy of formation in eV/atom: -0.005
Total DFT energy (no corrections) in eV for the cell shown: -19.09
Symmetry: Imm2, No. 44

***

Question: Look up the total DFT energy (no corrections) of the fifth one.
Answer: -96.14 eV for the cell shown